# VIn4 PBE optimized geometry
data_VIn4
_chemical_formula_sum 'V1 In4'
_cell_length_a 5.321
_cell_length_b 5.321
_cell_length_c 5.321
_cell_angle_alpha 90.00
_cell_angle_beta 90.00
_cell_angle_gamma 90.00
_space_group_name_H-M_alt 'P m -3 m'
_space_group_IT_number 221
_space_group_name_Hall '-P 4 2 3'
loop_
_atom_site_label
_atom_site_type_symbol
_atom_site_fract_x
_atom_site_fract_y
_atom_site_fract_z
V1 V 0.000 0.000 0.000
In1 In 0.000 0.000 0.500
In2 In 0.500 0.500 0.500
# E_form = 0.4127 eV per atom
# E_tot = -3.602 eV/atom
# Crystal system = cubic
# DOS at the Fermi energy = 0.5435 states/eV/atom